(1)
MnCdClF2: relaxed, PBE with a Hubbard U.

SG: P4/mmm
VASP energy in eV per atom: -4.47
Total magnetic moment in μB/f.u.: 5.00

```
5
Lattice="4.150 0.000 0.000 0.000 4.150 0.000 0.000 0.000 5.495" Properties=species:S:1:pos:R:3 pbc="T T T"
Mn 0.000 0.000 0.000
Cd 2.075 2.075 2.747
Cl 0.000 0.000 2.747
F 0.000 2.075 0.000
F 2.075 0.000 0.000
```

***

(2)
CdMoClF2: relaxed, PBE with a Hubbard U.

SG: P4/mmm
VASP energy in eV per atom: -4.08
Total magnetic moment in μB/f.u.: 3.35

```
5
Lattice="4.187 0.000 0.000 0.000 4.187 0.000 0.000 0.000 6.198" Properties=species:S:1:pos:R:3 pbc="T T T"
Cd 0.000 0.000 0.000
Mo 0.000 0.000 3.099
Cl 2.093 2.093 0.000
F 0.000 2.093 3.099
F 2.093 0.000 3.099
```